Entry 1:
Compound: Pr3Nd2Ag2
Source: the Alexandria database
Functional: PBE
Structure: optimized geometry

The structure in extended XYZ format:
```
7
Lattice="-3.8222 0.3634 -0.6024 1.5183 -6.6137 -1.0866 -1.2294 2.3160 9.1975" Properties=species:S:1:pos:R:3 pbc="T T T"
Ag -3.1205 -2.2522 5.9038
Pr -2.5468 -0.2188 3.4903
Pr -1.9111 0.1817 -0.3012
Nd -2.4146 -3.8947 0.4340
Pr -0.9866 -3.7155 4.0182
Nd -1.1188 -0.0396 7.0745
Ag -0.4128 -1.6821 1.6047
```

Values from the calculation:
Space group = C2/m
DFT formation energy = -0.11 eV per atom


Entry 2:
Compound: LaY2Co
Source: the Alexandria database
Functional: PBE
Structure: optimized geometry

The structure in extended XYZ format:
```
4
Lattice="-0.4127 1.1545 -4.9749 4.2940 -1.2654 -0.6499 -1.3751 -4.2217 -0.8656" Properties=species:S:1:pos:R:3 pbc="T T T"
Co 1.9407 -0.0555 -2.8124
Y 1.4595 -2.7435 -0.7578
Y 0.0000 0.0000 0.0000
La -0.8939 -1.5336 -2.9202
```

Values from the calculation:
Space group = P4/mmm
DFT formation energy = 0.30 eV per atom


Entry 3:
Compound: Cu4AgPd
Source: the Alexandria database
Functional: PBE
Structure: optimized geometry

The structure in extended XYZ format:
```
6
Lattice="4.9176 0.6273 0.7206 2.6422 4.1947 0.7207 -0.5662 -0.3610 4.1782" Properties=species:S:1:pos:R:3 pbc="T T T"
Cu 1.8777 1.1978 4.6415
Cu 1.0735 0.6848 2.3453
Pd 3.4968 2.2305 2.8097
Ag 0.0000 0.0000 0.0000
Cu 5.1159 3.2631 0.9780
Cu 5.9201 3.7761 3.2742
```

Values from the calculation:
Space group = Cmmm
DFT formation energy = 0.00 eV per atom


Entry 4:
Compound: YTa2TlBr
Source: the Alexandria database
Functional: PBE
Structure: optimized geometry

The structure in extended XYZ format:
```
5
Lattice="4.7795 0.0000 0.0000 0.0000 5.3491 0.0000 0.0000 0.0000 4.7795" Properties=species:S:1:pos:R:3 pbc="T T T"
Ta 0.0000 0.0000 2.3898
Ta 2.3898 0.0000 0.0000
Br 0.0000 0.0000 0.0000
Y 0.0000 2.6745 0.0000
Tl 2.3898 2.6745 2.3898
```

Values from the calculation:
Formation energy without anion corrections = 0.965 eV/atom
Space group = P4/mmm


Entry 5:
Compound: NdZnTe
Source: the Alexandria database
Functional: PBE
Structure: optimized geometry

The structure in extended XYZ format:
```
6
Lattice="4.7473 0.0000 0.0000 2.3737 4.1113 0.0000 2.3737 1.3704 10.0895" Properties=species:S:1:pos:R:3 pbc="T T T"
Nd 4.7473 2.7409 3.2018
Te 2.3737 1.3704 1.8028
Zn 2.3737 1.3704 4.9109
Te 7.1210 4.1113 8.2867
Zn 7.1210 4.1113 5.1786
Nd 4.7473 2.7409 6.8877
```

Values from the calculation:
Formation energy without anion corrections = -0.809 eV/atom
Space group = R-3m


Entry 6:
Compound: RbPr2PaSe5
Source: the Alexandria database
Functional: PBE
Structure: optimized geometry

The structure in extended XYZ format:
```
9
Lattice="-3.1306 -3.9734 -1.6735 4.8981 -1.4758 -5.6589 2.6942 -1.9076 7.9712" Properties=species:S:1:pos:R:3 pbc="T T T"
Rb 2.4491 -0.7379 -2.8294
Pr 1.4515 -1.8792 1.7464
Se 0.0000 0.0000 0.0000
Se 1.2299 -2.8653 4.5024
Se 3.2319 -4.4915 -3.8635
Se 0.6687 -3.7192 -0.9023
Se 3.7931 -3.6376 1.5412
Pr 3.0103 -5.4776 -1.1076
Pa -1.5653 -1.9867 -0.8367
```

Values from the calculation:
Formation energy without anion corrections = -1.544 eV/atom
Space group = Immm


Entry 7:
Compound: KLaAs2
Source: the Alexandria database
Functional: PBE
Structure: optimized geometry

The structure in extended XYZ format:
```
4
Lattice="5.2613 0.0000 0.0000 2.6307 4.5565 0.0000 2.6307 1.5188 4.2959" Properties=species:S:1:pos:R:3 pbc="T T T"
As 2.6307 1.5188 1.0740
La 7.8920 4.5565 3.2219
As 0.0000 0.0000 0.0000
K 5.2613 3.0376 2.1479
```

Values from the calculation:
Space group = F-43m
DFT formation energy = -0.17 eV per atom


Entry 8:
Compound: BaTa2Au
Source: the Alexandria database
Functional: PBE
Structure: optimized geometry

The structure in extended XYZ format:
```
4
Lattice="5.0281 0.0000 0.0000 2.5140 4.3544 0.0000 2.5140 1.4515 4.1054" Properties=species:S:1:pos:R:3 pbc="T T T"
Ta 2.5140 1.4515 1.0263
Ba 7.5421 4.3544 3.0790
Ta 0.0000 0.0000 0.0000
Au 5.0281 2.9030 2.0527
```

Values from the calculation:
Space group = F-43m
DFT formation energy = 0.83 eV per atom


Entry 9:
Compound: Cu4NiRh
Source: the Alexandria database
Functional: PBE
Structure: optimized geometry

The structure in extended XYZ format:
```
12
Lattice="3.3097 0.0005 1.6332 -0.5670 3.4641 1.1479 -3.0831 -1.9818 10.4186" Properties=species:S:1:pos:R:3 pbc="T T T"
Cu -1.2487 1.8086 8.7858
Rh -1.5415 -0.9909 5.2093
Cu 0.6892 0.0768 9.0281
Cu -1.6970 -0.5338 9.6947
Cu 1.3566 2.0166 3.5051
Ni 2.3405 0.8664 1.5119
Cu -0.3259 1.1985 11.0852
Rh -0.1702 0.7414 6.5999
Cu 0.9083 -0.3257 4.4140
Cu -0.0145 0.2843 2.1146
Cu -1.0296 1.4061 4.1716
Ni 0.4021 2.5982 1.2692
```

Values from the calculation:
Space group = P4/mmm
DFT formation energy = 0.04 eV per atom


Entry 10:
Compound: BaLi2Bi3
Source: the Alexandria database
Functional: PBE
Structure: optimized geometry

The structure in extended XYZ format:
```
6
Lattice="-2.1139 0.0966 4.0510 -5.8599 -1.5197 -3.0216 4.0417 -4.9450 2.2270" Properties=species:S:1:pos:R:3 pbc="T T T"
Bi -1.9734 -3.1860 1.6244
Bi 0.9565 -2.4259 3.1352
Li -2.5664 -2.6640 -1.2757
Li 0.7339 -3.8045 0.4737
Ba -0.0073 -0.0019 -0.0038
Bi -3.9944 -0.7134 0.5108
```

Values from the calculation:
Space group = P6/mmm
DFT formation energy = -0.53 eV per atom


Entry 11:
Compound: Ca3SnPb2
Source: the Alexandria database
Functional: PBE
Structure: optimized geometry

The structure in extended XYZ format:
```
24
Lattice="-1.0872 0.7930 4.6637 -11.0280 -1.9954 -2.2316 1.8810 -13.4430 2.7244" Properties=species:S:1:pos:R:3 pbc="T T T"
Pb -0.1654 -3.8187 1.8738
Pb -10.0688 -10.8265 3.2827
Ca -11.1405 -2.8496 1.6765
Ca -3.0417 -3.1252 3.6114
Ca -5.6616 -8.7499 3.9570
Sn -8.4349 -13.2605 4.0775
Ca -7.1925 -11.5201 1.5452
Ca -4.9360 -1.8329 0.4240
Ca -10.3771 -6.8397 2.5329
Pb -8.3345 -1.5372 -0.4186
Ca -7.9769 -4.7704 0.2146
Sn -1.7993 -1.3848 1.0790
Ca 0.9063 -11.7957 3.4801
Sn -2.9611 -8.4867 2.0158
Ca -4.5726 -5.8953 1.1995
Pb -6.3841 -3.2682 2.8565
Sn -7.2730 -6.1586 3.1407
Ca -5.2982 -12.8124 4.7325
Pb -1.8996 -13.1081 5.5751
Pb -7.7350 -8.3204 0.8746
Ca 0.1430 -7.8056 2.6236
Ca -2.2573 -9.8749 4.9420
Pb -2.4992 -6.3249 4.2819
Pb -3.8500 -11.3771 2.3000
```

Values from the calculation:
Space group = Pnma
DFT formation energy = -0.46 eV per atom


Entry 12:
Compound: PmIClF
Source: the Alexandria database
Functional: PBE
Structure: optimized geometry

The structure in extended XYZ format:
```
4
Lattice="4.1412 -0.0140 -0.0053 -2.0586 3.5933 0.0053 -2.0589 -1.1976 7.7990" Properties=species:S:1:pos:R:3 pbc="T T T"
F 2.6362 0.8617 0.8236
Cl -3.5583 2.0704 6.9313
Pm 0.5696 2.0641 0.8376
I 0.5642 -0.3283 3.0797
```

Values from the calculation:
Formation energy without anion corrections = -2.607 eV/atom
Space group = R3m


Entry 13:
Compound: K2TiTc
Source: the Alexandria database
Functional: PBE
Structure: optimized geometry

The structure in extended XYZ format:
```
8
Lattice="-11.4041 5.0032 -2.8187 2.6583 -0.9557 -12.4520 -5.2435 0.0212 -7.6675" Properties=species:S:1:pos:R:3 pbc="T T T"
Ti -4.3729 2.0237 -7.6353
K -10.5349 4.1836 -12.3898
Ti -3.4790 0.5446 -13.8774
Tc -10.5103 3.5241 -9.0607
K -13.7904 4.3502 -8.7832
K -7.6655 1.6966 -9.3543
Tc 0.0000 0.0000 0.0000
K -10.0504 3.8658 -5.7155
```

Values from the calculation:
Space group = I-42d
DFT formation energy = 1.14 eV per atom


Entry 14:
Compound: YEr7Sc2
Source: the Alexandria database
Functional: PBE
Structure: optimized geometry

The structure in extended XYZ format:
```
10
Lattice="3.4139 -0.3532 0.3944 -1.0192 8.7836 -6.0832 1.0940 -1.8114 11.2971" Properties=species:S:1:pos:R:3 pbc="T T T"
Er 3.1830 -0.8613 8.7259
Y 0.0000 0.0000 0.0000
Er 0.3056 7.4803 -3.1176
Er 1.1973 4.2152 -2.8444
Sc 1.5098 0.3825 5.8209
Er 2.1197 2.9121 0.2702
Er 0.1430 5.1473 2.2754
Er 1.3689 3.7069 5.3381
Sc 1.9789 6.2365 -0.2127
Er 3.3457 1.4716 3.3329
```

Values from the calculation:
Space group = P-1
DFT formation energy = 0.07 eV per atom


Entry 15:
Compound: DyTmPu2N4
Source: the Alexandria database
Functional: PBE
Structure: optimized geometry

The structure in extended XYZ format:
```
8
Lattice="-0.8504 2.8251 -1.8214 -4.3037 1.2784 3.9922 5.1041 2.6051 1.6575" Properties=species:S:1:pos:R:3 pbc="T T T"
N -0.1997 2.3887 0.4981
N 0.1498 4.3199 3.3302
Dy -2.5770 2.0517 1.0854
N 2.7470 2.2528 2.2116
Tm 0.0000 0.0000 0.0000
Pu 0.4002 1.9418 2.8249
N -1.9465 1.6307 3.4381
Pu 2.1268 2.7151 -0.0820
```

Values from the calculation:
Formation energy without anion corrections = -1.498 eV/atom
Space group = P2/m


Entry 16:
Compound: CdTcMoPb2
Source: the Alexandria database
Functional: PBE
Structure: optimized geometry

The structure in extended XYZ format:
```
5
Lattice="5.4538 0.0000 0.0000 0.0000 4.7465 0.0000 0.0000 0.0000 5.4538" Properties=species:S:1:pos:R:3 pbc="T T T"
Mo 0.0000 0.0000 0.0000
Pb 2.7269 0.0000 0.0000
Tc 0.0000 2.3733 0.0000
Pb 0.0000 0.0000 2.7269
Cd 2.7269 2.3733 2.7269
```

Values from the calculation:
Space group = P4/mmm
DFT formation energy = 0.99 eV per atom


Entry 17:
Compound: KNiCl2
Source: the Alexandria database
Functional: PBE
Structure: optimized geometry

The structure in extended XYZ format:
```
4
Lattice="-4.8691 -3.6949 -4.4878 -4.9588 -5.6961 0.6826 2.9244 6.5075 2.5694" Properties=species:S:1:pos:R:3 pbc="T T T"
K -4.9140 -4.6955 -1.9026
Cl 0.0000 0.0000 0.0000
Ni -3.4294 -0.9415 -1.9105
Cl -3.4742 -1.9421 0.6747
```

Values from the calculation:
Formation energy without anion corrections = -0.496 eV/atom
Space group = I-4m2


Entry 18:
Compound: Cs2TiCr
Source: the Alexandria database
Functional: PBE
Structure: optimized geometry

The structure in extended XYZ format:
```
4
Lattice="5.7762 -1.4043 -0.7468 3.5423 -0.7486 4.7735 1.9633 -5.4730 1.4446" Properties=species:S:1:pos:R:3 pbc="T T T"
Cs 8.4613 -5.7194 4.1035
Cs 2.8204 -1.9065 1.3678
Cr 5.6409 -3.8130 2.7357
Ti 0.0000 0.0000 0.0000
```

Values from the calculation:
Space group = Fm-3m
DFT formation energy = 1.75 eV per atom


Entry 19:
Compound: Pm2Ga2Rh3
Source: the Alexandria database
Functional: PBE
Structure: optimized geometry

The structure in extended XYZ format:
```
14
Lattice="-3.7920 -1.8228 -0.2960 0.9607 -3.0452 6.4448 -1.9150 8.1890 4.1548" Properties=species:S:1:pos:R:3 pbc="T T T"
Pm 0.2410 -1.3682 5.3378
Rh -3.7459 2.3187 3.6607
Ga -2.8201 0.1788 4.9773
Pm -4.9873 4.6893 4.9659
Ga -1.9262 3.1423 5.3263
Pm -3.8308 1.8755 7.4774
Pm -0.9155 1.4456 2.8262
Rh -2.3092 -0.2071 0.8081
Rh -1.0003 1.0024 6.6429
Rh -2.4371 3.5282 9.4955
Ga -2.2967 4.3166 2.8410
Ga -2.4496 -0.9956 7.4626
Rh -2.7830 4.6246 7.1752
Rh -1.9633 -1.3035 3.1285
```

Values from the calculation:
Space group = Cmcm
DFT formation energy = -0.73 eV per atom


Entry 20:
Compound: PaAgB2O8
Source: the Alexandria database
Functional: PBE
Structure: optimized geometry

The structure in extended XYZ format:
```
12
Lattice="5.6204 0.0141 0.0000 -2.4801 5.0436 0.0000 -1.5701 -2.5288 4.7674" Properties=species:S:1:pos:R:3 pbc="T T T"
Pa 0.0000 0.0000 0.0000
O 0.1507 -1.2380 3.9864
O 3.0403 -1.1885 3.2098
O 3.9838 0.3311 1.5576
B 1.5701 2.5288 0.0000
O 1.6366 -0.3170 1.5576
O 2.7465 2.9429 0.7810
Ag -1.2401 2.5218 2.3837
O -0.1507 1.2380 3.9864
O 0.3938 2.1148 0.7810
O 2.5801 1.2026 3.2098
B 2.8102 0.0070 2.3837
```

Values from the calculation:
Formation energy without anion corrections = -1.711 eV/atom
Space group = I-4m2